1.
HoPuAu2 PBE optimized geometry; distance to the lowest polymorph of the same formula = 0 meV/atom; calculated formation energy = -61.7 kJ per mole of atoms
1.0
-2.096 1.543 2.442
-2.753 -1.981 -1.112
1.806 -5.241 4.864
Au Pu Ho
2 1 1
Cartesian
0.486 -1.410 1.308 Au
1.320 -3.831 3.555 Au
-2.425 -0.219 0.665 Pu
-1.522 -2.839 3.097 Ho

2.
Ho3PuAu4 PBE optimized geometry; calculated formation energy = -73.3 kJ per mole of atoms
1.0
3.575 0.000 0.000
0.000 3.575 0.000
0.000 0.000 14.534
Ho Pu Au
3 1 4
Cartesian
1.788 1.788 3.661 Ho
1.788 1.788 10.873 Ho
1.788 1.788 7.267 Ho
1.788 1.788 0.000 Pu
0.000 0.000 9.051 Au
0.000 0.000 1.988 Au
0.000 0.000 12.546 Au
0.000 0.000 5.483 Au